First-principles (PBE-GGA) data for an optimized crystal structure of PrYCu10, as listed in Alexandria.

Output
E_form ... -0.1727 eV/atom

Cell and atoms, written as extended XYZ:
```
12
Lattice="-3.580 -0.764 -1.864 2.447 -0.609 -4.449 0.947 -8.566 1.693" Properties=species:S:1:pos:R:3 pbc="T T T"
Cu 1.377 -1.694 -1.950
Cu 0.312 -2.822 0.558
Cu -0.566 -0.687 -3.157
Cu 0.635 -5.744 1.135
Cu -1.316 -4.665 -0.086
Cu 2.017 -7.482 -0.806
Cu 0.285 -2.944 -3.865
Cu -0.952 -2.637 -1.617
Cu 0.767 -7.303 -3.004
Cu -0.470 -6.995 -0.756
Pr 1.697 -4.588 -1.378
Y 0.000 0.000 0.000
```